No. 1
First-principles (PBE) data for LiAc4Au after structural relaxation, as listed in the Alexandria database.

Values from the calculation:
M_tot = 0.001 μB per cell
total energy = -3.54 eV/atom
DOS(E_F) = 1.9046 states/eV per atom
energy relative to the elements = 65 meV/atom

Cell and atoms, written as CIF:
```
data_LiAc4Au
_chemical_formula_sum 'Li4 Ac16 Au4'
_space_group_name_H-M_alt 'I 41 m d'
_space_group_IT_number 109
_space_group_name_Hall 'I 4bw -2'
_cell_length_a 9.956
_cell_length_b 9.956
_cell_length_c 10.380
_cell_angle_alpha 90.00
_cell_angle_beta 90.00
_cell_angle_gamma 90.00
loop_
_atom_site_label
_atom_site_fract_x
_atom_site_fract_y
_atom_site_fract_z
_atom_site_occupancy
Li1 0.000 0.000 0.000 1
Ac1 0.000 0.306 0.511 1
Ac2 0.000 0.309 0.992 1
Au1 0.000 0.000 0.502 1
```

=====

No. 2
First-principles (PBE) data for BC4 after structural relaxation, as listed in the Alexandria database.

Values from the calculation:
M_tot = 0.000 μB per cell
total energy = -5.35 eV/atom
DOS(E_F) = 0.3643 states/eV per atom
energy above the lowest structure with this stoichiometry = 303.3 kJ per mole of atoms
energy relative to the elements = 3368 meV/atom

Cell and atoms, written as CIF:
```
data_BC4
_chemical_formula_sum 'B1 C4'
_space_group_name_H-M_alt 'P m -3 m'
_space_group_IT_number 221
_space_group_name_Hall '-P 4 2 3'
_cell_length_a 3.362
_cell_length_b 3.362
_cell_length_c 3.362
_cell_angle_alpha 90.00
_cell_angle_beta 90.00
_cell_angle_gamma 90.00
loop_
_atom_site_label
_atom_site_fract_x
_atom_site_fract_y
_atom_site_fract_z
_atom_site_occupancy
B1 0.000 0.000 0.000 1
C1 0.000 0.000 0.500 1
C2 0.500 0.500 0.500 1
```

=====

No. 3
First-principles (PBE) data for LiGa2Ru after structural relaxation, as listed in the Alexandria database.

Values from the calculation:
M_tot = 0.000 μB per cell
total energy = -4.66 eV/atom
DOS(E_F) = 0.4273 states/eV per atom
energy above the lowest structure with this stoichiometry = 2.8 kJ per mole of atoms
energy relative to the elements = -349 meV/atom

Cell and atoms, written as CIF:
```
data_LiGa2Ru
_chemical_formula_sum 'Li4 Ga8 Ru4'
_space_group_name_H-M_alt 'F m -3 m'
_space_group_IT_number 225
_space_group_name_Hall '-F 4 2 3'
_cell_length_a 6.062
_cell_length_b 6.062
_cell_length_c 6.062
_cell_angle_alpha 90.00
_cell_angle_beta 90.00
_cell_angle_gamma 90.00
loop_
_atom_site_label
_atom_site_fract_x
_atom_site_fract_y
_atom_site_fract_z
_atom_site_occupancy
Li1 0.000 0.000 0.000 1
Ga1 0.250 0.250 0.250 1
Ru1 0.000 0.000 0.500 1
```

=====

Please write out number 3 again, unchanged.
First-principles (PBE) data for LiGa2Ru after structural relaxation, as listed in the Alexandria database.

Values from the calculation:
M_tot = 0.000 μB per cell
total energy = -4.66 eV/atom
DOS(E_F) = 0.4273 states/eV per atom
energy above the lowest structure with this stoichiometry = 2.8 kJ per mole of atoms
energy relative to the elements = -349 meV/atom

Cell and atoms, written as CIF:
```
data_LiGa2Ru
_chemical_formula_sum 'Li4 Ga8 Ru4'
_space_group_name_H-M_alt 'F m -3 m'
_space_group_IT_number 225
_space_group_name_Hall '-F 4 2 3'
_cell_length_a 6.062
_cell_length_b 6.062
_cell_length_c 6.062
_cell_angle_alpha 90.00
_cell_angle_beta 90.00
_cell_angle_gamma 90.00
loop_
_atom_site_label
_atom_site_fract_x
_atom_site_fract_y
_atom_site_fract_z
_atom_site_occupancy
Li1 0.000 0.000 0.000 1
Ga1 0.250 0.250 0.250 1
Ru1 0.000 0.000 0.500 1
```

=====

> The highest M_tot belongs to which entry?

LiAc4Au